Tm2VO5: optimized geometry, GGA+U.

Unit cell a=8.747 b=7.174 c=6.612 alpha=90.00 beta=93.98 gamma=90.00
Space group P2_1/c (No. 14)
One atom of each set of equivalent atoms:
Tm  0.023  0.119  0.238 x4
Tm  0.349  0.148  0.944 x4
V  0.333  0.598  0.938 x4
O  0.100  0.121  0.904 x4
O  0.119  0.631  0.959 x4
O  0.283  0.097  0.256 x4
O  0.392  0.664  0.482 x4
O  0.410  0.073  0.630 x4

Summary:
The total energy is -262.4 eV for the cell shown. For the total magnetic moment, the calculation gives 1.0 μB per formula unit. The value obtained for the density is 7.5 g cm⁻³.